Entry 1:
A relaxed structure of GaTeOs. Source: OQMD via LeMat-Bulk, functional PBE.

Summary:
ρ (Mg/m³): 10.681

Cell: 4.400 4.400 4.400 Å, 60.00 60.00 60.00°
Sites, in units of the cell vectors:
Ga 0.250 0.250 0.250
Os 0.000 0.000 0.000
Te 0.750 0.750 0.750

Entry 2:
A relaxed structure of ThGaOs. Source: OQMD via LeMat-Bulk, functional PBE.

Summary:
ρ (Mg/m³): 11.645

Cell: 4.629 4.629 4.629 Å, 60.00 60.00 60.00°
Sites, in units of the cell vectors:
Ga 0.250 0.250 0.250
Os 0.000 0.000 0.000
Th 0.750 0.750 0.750

Entry 3:
A relaxed structure of TlGaOs. Source: OQMD via LeMat-Bulk, functional PBE.

Summary:
ρ (Mg/m³): 12.503

Cell: 4.435 4.435 4.435 Å, 60.00 60.00 60.00°
Sites, in units of the cell vectors:
Ga 0.250 0.250 0.250
Os 0.000 0.000 0.000
Tl 0.750 0.750 0.750

Entry 4:
A relaxed structure of Tl2GaOs. Source: OQMD via LeMat-Bulk, functional PBE.

Summary:
ρ (Mg/m³): 13.315

Cell: 4.904 4.904 4.904 Å, 60.00 60.00 60.00°
Sites, in units of the cell vectors:
Ga 0.750 0.750 0.750
Os 0.500 0.500 0.500
Tl 0.000 0.000 0.000
Tl 0.250 0.250 0.250

| no. | raw total energy (eV/cell) |
| --- | --- |
| 1 | -16.680 |
| 2 | -22.285 |
| 3 | -14.765 |
| 4 | -15.398 |